VASP calculation (GGA-PBE) on a relaxed structure of K2YTc.

CIF file:
```
data_K2YTc
_chemical_formula_sum 'K2 Y1 Tc1'
_cell_length_a 6.652
_cell_length_b 3.611
_cell_length_c 4.999
_cell_angle_alpha 85.96
_cell_angle_beta 90.00
_cell_angle_gamma 90.00
_space_group_name_H-M_alt 'P 1'
_space_group_IT_number 1
loop_
_space_group_symop_operation_xyz
'x,y,z'
loop_
_atom_site_label
_atom_site_type_symbol
_atom_site_fract_x
_atom_site_fract_y
_atom_site_fract_z
K1 K 0.000 0.013 0.012
K2 K 0.000 0.487 0.488
Tc1 Tc 0.500 0.250 0.250
Y1 Y 0.500 0.750 0.750
```

Output
* E_tot: -3.728 eV per atom
* E_form: 1028 meV per atom
* excess energy over the best structure of this formula in the dataset: 1.70 eV/f.u.
* symmetry: P2/m, No. 10
* density of states at the Fermi level: 4.53 states/eV/f.u.